Entry 1:
A PBEsol-optimized structure of PrNi3, computed with meta-GGA SCAN.

Lattice parameters (Å, degrees): 4.0198 4.0198 13.9429 90.00 90.00 120.00
Space group R-3m (No. 166, hexagonal axes)
Inequivalent atoms, fractional coordinates:
Pr 0.0000 0.0000 0.0000
Ni 0.0000 0.0000 0.1945
Ni 0.0000 0.0000 0.5000

Values from the calculation:
Energy of formation (eV/f.u.): -0.863

Entry 2:
A PBEsol-optimized structure of ScP2SCl, computed with meta-GGA SCAN.

Lattice parameters (Å, degrees): 4.501 4.501 4.541 90.00 90.00 90.00
Space group P4/mmm (No. 123)
Inequivalent atoms, fractional coordinates:
Sc 0.000 0.000 0.000
P 0.000 0.500 0.500
S 0.500 0.500 0.500
Cl 0.500 0.500 0.000

Values from the calculation:
Formation energy without anion corrections (eV per atom): 0.17

Entry 3:
A PBEsol-optimized structure of FeNiW2, computed with meta-GGA SCAN.

Lattice parameters (Å, degrees): 5.960 5.960 5.960 90.00 90.00 90.00
Space group F-43m (No. 216)
Inequivalent atoms, fractional coordinates:
Fe 0.000 0.000 0.000
Ni 0.250 0.250 0.750
W 0.000 0.000 0.500
W 0.250 0.250 0.250

Values from the calculation:
Energy relative to the lowest polymorph listed for this composition (meV per atom): 159
Energy of formation (eV/f.u.): 1.269

Entry 4:
A PBEsol-optimized structure of Hg2IrRh, computed with meta-GGA SCAN.

Lattice parameters (Å, degrees): 2.908 4.904 9.364 90.00 90.00 90.00
Space group Immm (No. 71)
Inequivalent atoms, fractional coordinates:
Hg 0.000 0.000 0.248
Ir 0.000 0.500 0.000
Rh 0.000 0.500 0.500

Values from the calculation:
Energy relative to the lowest polymorph listed for this composition (meV per atom): 53
Energy of formation (eV/f.u.): 1.949

Entry 5:
A PBEsol-optimized structure of SrCoTe2, computed with meta-GGA SCAN.

Lattice parameters (Å, degrees): 7.741 7.741 6.961 90.00 90.00 90.00
Space group I-42d (No. 122)
Inequivalent atoms, fractional coordinates:
Sr 0.000 0.000 0.000
Co 0.000 0.000 0.500
Te 0.157 0.250 0.625

Values from the calculation:
Formation energy without anion corrections (eV per atom): -0.71

Entry 6:
A PBEsol-optimized structure of MgCdPb2, computed with meta-GGA SCAN.

Lattice parameters (Å, degrees): 3.614 5.266 10.841 90.00 90.00 90.00
Space group Imm2 (No. 44)
Inequivalent atoms, fractional coordinates:
Mg 0.000 0.000 0.000
Cd 0.000 0.500 0.276
Pb 0.000 0.000 0.524
Pb 0.000 0.500 0.753

Values from the calculation:
Energy relative to the lowest polymorph listed for this composition (meV per atom): 45
Energy of formation (eV/f.u.): -0.046

Entry 7:
A PBEsol-optimized structure of RbBaMo3, computed with meta-GGA SCAN.

Lattice parameters (Å, degrees): 5.137 5.137 5.137 90.00 90.00 90.00
Space group Pm-3m (No. 221)
Inequivalent atoms, fractional coordinates:
Rb 0.000 0.000 0.000
Ba 0.500 0.500 0.500
Mo 0.000 0.500 0.500

Values from the calculation:
Energy of formation (eV/f.u.): 15.629

Entry 8:
A PBEsol-optimized structure of BSeS3, computed with meta-GGA SCAN.

Lattice parameters (Å, degrees): 4.153 4.153 4.153 90.00 90.00 90.00
Space group Pm-3m (No. 221)
Inequivalent atoms, fractional coordinates:
B 0.000 0.000 0.000
Se 0.500 0.500 0.500
S 0.000 0.000 0.500

Values from the calculation:
Energy relative to the lowest polymorph listed for this composition (meV per atom): 0
Formation energy without anion corrections (eV per atom): 0.91

Entry 9:
A PBEsol-optimized structure of Li2HfSiS, computed with meta-GGA SCAN.

Lattice parameters (Å, degrees): 5.429 5.429 4.838 90.00 90.00 90.00
Space group P4/mmm (No. 123)
Inequivalent atoms, fractional coordinates:
Li 0.000 0.500 0.000
Hf 0.000 0.000 0.000
Si 0.000 0.000 0.500
S 0.500 0.500 0.500

Values from the calculation:
Formation energy without anion corrections (eV per atom): 1.27

Entry 10:
A PBEsol-optimized structure of Tl3SnN, computed with meta-GGA SCAN.

Lattice parameters (Å, degrees): 4.895 4.895 4.895 90.00 90.00 90.00
Space group Pm-3m (No. 221)
Inequivalent atoms, fractional coordinates:
Tl 0.000 0.000 0.500
Sn 0.500 0.500 0.500
N 0.000 0.000 0.000

Values from the calculation:
Formation energy without anion corrections (eV per atom): 0.69

Entry 11:
A PBEsol-optimized structure of TaPbAu4, computed with meta-GGA SCAN.

Lattice parameters (Å, degrees): 7.725 7.725 7.725 90.00 90.00 90.00
Space group F-43m (No. 216)
Inequivalent atoms, fractional coordinates:
Ta 0.000 0.000 0.000
Pb 0.250 0.250 0.250
Au 0.125 0.125 0.625

Values from the calculation:
Energy of formation (eV/f.u.): 2.652

Entry 12:
A PBEsol-optimized structure of NiAg2Os, computed with meta-GGA SCAN.

Lattice parameters (Å, degrees): 5.303 9.435 2.597 90.00 116.90 90.00
Space group C2/m (No. 12)
Inequivalent atoms, fractional coordinates:
Ni 0.000 0.000 0.000
Ag 0.250 0.250 0.500
Os 0.000 0.500 0.000

Values from the calculation:
Energy relative to the lowest polymorph listed for this composition (meV per atom): 0
Energy of formation (eV/f.u.): 2.382

Number 1: total magnetic moment 0.005 μB/f.u.. Number 2: total magnetic moment 0.000 μB/f.u.. Number 3: total magnetic moment 2.857 μB/f.u.. Number 4: total magnetic moment 0.000 μB/f.u.. Number 5: total magnetic moment 1.832 μB/f.u.. Number 6: total magnetic moment 0.000 μB/f.u.. Number 7: total magnetic moment 4.954 μB/f.u.. Number 8: total magnetic moment 0.000 μB/f.u.. Number 9: total magnetic moment 0.016 μB/f.u.. Number 10: total magnetic moment 0.000 μB/f.u.. Number 11: total magnetic moment 2.000 μB/f.u.. Number 12: total magnetic moment 1.255 μB/f.u..